# 1
Below is a geometry-optimized Sr2CaGaS structure, with properties calculated at the PBE-GGA level.

Structure (CIF):
```
data_Sr2CaGaS
_chemical_formula_sum 'Sr2 Ca1 Ga1 S1'
_cell_length_a 6.273
_cell_length_b 6.273
_cell_length_c 5.031
_cell_angle_alpha 90.00
_cell_angle_beta 90.00
_cell_angle_gamma 90.00
_space_group_name_H-M_alt 'P 4/m m m'
_space_group_IT_number 123
_space_group_name_Hall '-P 4 2'
loop_
_atom_site_label
_atom_site_fract_x
_atom_site_fract_y
_atom_site_fract_z
_atom_site_occupancy
Sr1 0.000 0.500 0.000 1
Ca1 0.000 0.000 0.500 1
Ga1 0.500 0.500 0.000 1
S1 0.500 0.500 0.500 1
```

As for the density of states at the Fermi level: 1.028 states/eV/atom. The electronic total energy is -0.0928 hartree per atom. Its mass density is 2.660 g/cm³. The formation energy from raw total energies comes out at -0.0204 eV/atom. The calculation puts the size of the total moment at 0.0000 μB/atom.

# 2
Below is a geometry-optimized CdPbW structure, with properties calculated at the PBE-GGA level.

Structure (CIF):
```
data_CdPbW
_chemical_formula_sum 'Cd4 Pb4 W4'
_cell_length_a 6.715
_cell_length_b 6.715
_cell_length_c 6.715
_cell_angle_alpha 90.00
_cell_angle_beta 90.00
_cell_angle_gamma 90.00
_space_group_name_H-M_alt 'F -4 3 m'
_space_group_IT_number 216
_space_group_name_Hall 'F -4 2 3'
loop_
_atom_site_label
_atom_site_fract_x
_atom_site_fract_y
_atom_site_fract_z
_atom_site_occupancy
Cd1 0.000 0.000 0.000 1
Pb1 0.000 0.000 0.500 1
W1 0.250 0.250 0.750 1
```

As for the density of states at the Fermi level: 0.363 states/eV/atom. For the formation energy, the calculation gives 1.1640 eV/atom. The electronic total energy is -0.1725 hartree per atom. Its mass density is 11.045 g/cm³. The calculation puts the size of the total moment at 0.7281 μB/atom.

# 3
Below is a geometry-optimized BaRhCl2 structure, with properties calculated at the PBE-GGA level.

Structure (CIF):
```
data_BaRhCl2
_chemical_formula_sum 'Ba1 Rh1 Cl2'
_cell_length_a 4.368
_cell_length_b 4.532
_cell_length_c 5.950
_cell_angle_alpha 90.00
_cell_angle_beta 111.23
_cell_angle_gamma 90.00
_space_group_name_H-M_alt 'P 1 m 1'
_space_group_IT_number 6
_space_group_name_Hall 'P -2y'
loop_
_atom_site_label
_atom_site_fract_x
_atom_site_fract_y
_atom_site_fract_z
_atom_site_occupancy
Ba1 0.000 0.000 0.000 1
Rh1 0.364 0.500 0.720 1
Cl1 0.298 0.000 0.591 1
Cl2 0.584 0.500 0.171 1
```

As for the density of states at the Fermi level: 0.511 states/eV/atom. The electronic total energy is -0.1587 hartree per atom. Its mass density is 4.706 g/cm³. The formation energy from raw total energies comes out at -1.0766 eV/atom. The calculation puts the size of the total moment at 0.2552 μB/atom.

# 4
Below is a geometry-optimized Rb3HoU3S8 structure, with properties calculated at the PBE-GGA level.

Structure (CIF):
```
data_Rb3HoU3S8
_chemical_formula_sum 'Rb6 Ho2 U6 S16'
_cell_length_a 14.050
_cell_length_b 8.110
_cell_length_c 9.117
_cell_angle_alpha 90.00
_cell_angle_beta 120.77
_cell_angle_gamma 90.00
_space_group_name_H-M_alt 'C 1 2/m 1'
_space_group_IT_number 12
_space_group_name_Hall '-C 2y'
loop_
_atom_site_label
_atom_site_fract_x
_atom_site_fract_y
_atom_site_fract_z
_atom_site_occupancy
Rb1 0.000 0.000 0.000 1
Rb2 0.250 0.250 0.000 1
Ho1 0.000 0.000 0.500 1
U1 0.000 0.500 0.500 1
U2 0.250 0.250 0.500 1
S1 0.021 0.249 0.312 1
S2 0.229 0.000 0.686 1
S3 0.232 0.500 0.693 1
```

As for the density of states at the Fermi level: 1.451 states/eV/atom. The electronic total energy is -0.2369 hartree per atom. Its mass density is 5.179 g/cm³. The formation energy from raw total energies comes out at -1.4885 eV/atom. The calculation puts the size of the total moment at 0.1879 μB/atom.

Q: Which value of mass density does entry 2 give?
A: 11.045 g/cm³

Q: What is the electronic total energy in the third record?
A: -0.1587 hartree per atom